KAg2Te: relaxed, PBE-GGA.

Unit cell a=6.8604 b=6.8604 c=6.2758 alpha=106.23 beta=106.23 gamma=27.33
Fractional positions:
1 Te 0.7500 0.7500 0.7500
2 Ag 0.9467 0.9467 0.0749
3 Ag 0.5533 0.5533 0.4251
4 K 0.2500 0.2500 0.2500

Properties
Mass density, g cm⁻³: 4.890
Space group: C2/m, No. 12
E_form (uncorrected), kJ per mole of atoms: -9.6